Compound: Tc2AsCl
Source: Alexandria
Functional: PBE
Structure: optimized geometry

Total magnetic moment ... 0.00 μB/atom
Mass density ... 7.82 g/cm3
ΔE_f (raw) ... 577 meV/atom
VASP energy ... -6.23 eV per atom

The structure in CIF format:
```
data_Tc2AsCl
_chemical_formula_sum 'Tc4 As2 Cl2'
_cell_length_a 2.910
_cell_length_b 5.512
_cell_length_c 8.115
_cell_angle_alpha 90.00
_cell_angle_beta 90.00
_cell_angle_gamma 90.00
_space_group_name_H-M_alt 'I m m m'
_space_group_IT_number 71
_space_group_name_Hall '-I 2 2'
loop_
_atom_site_label
_atom_site_type_symbol
_atom_site_fract_x
_atom_site_fract_y
_atom_site_fract_z
Tc1 Tc 0.000 0.000 0.245
As1 As 0.000 0.500 0.500
Cl1 Cl 0.000 0.500 0.000
```

=====

Compound: Tc2AsCl
Source: Alexandria
Functional: PBE
Structure: optimized geometry

Total magnetic moment ... 0.00 μB/atom
Mass density ... 8.68 g/cm3
ΔE_f (raw) ... 462 meV/atom
VASP energy ... -6.34 eV per atom

The structure in CIF format:
```
data_Tc2AsCl
_chemical_formula_sum 'Tc8 As4 Cl4'
_cell_length_a 6.165
_cell_length_b 6.165
_cell_length_c 6.165
_cell_angle_alpha 90.00
_cell_angle_beta 90.00
_cell_angle_gamma 90.00
_space_group_name_H-M_alt 'F m -3 m'
_space_group_IT_number 225
_space_group_name_Hall '-F 4 2 3'
loop_
_atom_site_label
_atom_site_type_symbol
_atom_site_fract_x
_atom_site_fract_y
_atom_site_fract_z
Tc1 Tc 0.250 0.250 0.250
As1 As 0.000 0.000 0.000
Cl1 Cl 0.000 0.000 0.500
```

=====

Compound: TcAs2Cl
Source: Alexandria
Functional: PBE
Structure: optimized geometry

Total magnetic moment ... 0.00 μB/atom
Mass density ... 5.01 g/cm3
ΔE_f (raw) ... 106 meV/atom
VASP energy ... -5.27 eV per atom

The structure in CIF format:
```
data_TcAs2Cl
_chemical_formula_sum 'Tc1 As2 Cl1'
_cell_length_a 3.964
_cell_length_b 4.035
_cell_length_c 5.875
_cell_angle_alpha 90.00
_cell_angle_beta 92.69
_cell_angle_gamma 90.00
_space_group_name_H-M_alt 'P 1 m 1'
_space_group_IT_number 6
_space_group_name_Hall 'P -2y'
loop_
_atom_site_label
_atom_site_type_symbol
_atom_site_fract_x
_atom_site_fract_y
_atom_site_fract_z
Tc1 Tc 0.000 0.000 0.000
As1 As 0.473 0.000 0.279
As2 As 0.843 0.500 0.188
Cl1 Cl 0.091 0.500 0.721
```

=====

Compound: Tc2AsCl
Source: Alexandria
Functional: PBE
Structure: optimized geometry

Total magnetic moment ... 0.00 μB/atom
Mass density ... 8.14 g/cm3
ΔE_f (raw) ... 320 meV/atom
VASP energy ... -6.49 eV per atom

The structure in CIF format:
```
data_Tc2AsCl
_chemical_formula_sum 'Tc4 As2 Cl2'
_cell_length_a 10.424
_cell_length_b 2.973
_cell_length_c 4.085
_cell_angle_alpha 90.00
_cell_angle_beta 99.02
_cell_angle_gamma 90.00
_space_group_name_H-M_alt 'C 1 m 1'
_space_group_IT_number 8
_space_group_name_Hall 'C -2y'
loop_
_atom_site_label
_atom_site_type_symbol
_atom_site_fract_x
_atom_site_fract_y
_atom_site_fract_z
Tc1 Tc 0.000 0.000 0.000
Tc2 Tc 0.231 0.500 0.240
As1 As 0.435 0.000 0.447
Cl1 Cl 0.196 0.000 0.768
```